Record 1
# CrPPt2

A geometry-optimized CrPPt2 structure (PBE, the Alexandria database).

The structure in POSCAR format:
```
CrPPt2
1.0
-1.503 -1.450 4.400
2.756 -3.581 1.818
0.994 4.351 -1.951
Pt P Cr
2 1 1
direct
0.250 0.750 0.500 Pt
0.000 0.000 0.000 Pt
0.750 0.250 0.500 P
0.500 0.500 0.000 Cr
```

Space-group type: No. 119
V (Å³ per cell): 59.41

=====

Record 2
# CrPPt2

A geometry-optimized CrPPt2 structure (PBE, the Alexandria database).

The structure in POSCAR format:
```
CrPPt2
1.0
3.329 0.000 0.000
0.000 3.332 0.000
0.000 0.000 5.333
P Pt Cr
1 2 1
direct
0.500 0.500 0.750 P
0.000 0.000 0.496 Pt
0.000 0.000 0.004 Pt
0.500 0.500 0.250 Cr
```

Space-group type: No. 123
V (Å³ per cell): 59.17

=====

Record 3
# Cr2PPt

A geometry-optimized Cr2PPt structure (PBE, the Alexandria database).

The structure in POSCAR format:
```
Cr2PPt
1.0
4.213 0.000 0.000
2.107 3.649 0.000
2.107 1.216 3.440
Cr Pt P
2 1 1
direct
0.250 0.250 0.250 Cr
0.000 0.000 0.000 Cr
0.750 0.750 0.750 Pt
0.500 0.500 0.500 P
```

Space-group type: No. 216
V (Å³ per cell): 52.89

=====

| no. | M_tot (μB/f.u.) | formation enthalpy at 0 K (eV/atom) |
| --- | --- | --- |
| 1 | 3.7 | -0.02 |
| 2 | 2.5 | -0.08 |
| 3 | 2.8 | 0.06 |